Run i
NaAc2Lu | GGA-PBE | optimized geometry

Cell: 3.7869 3.7869 13.4505 Å, 81.91 81.91 60.00°
Last column: nearest neighbours and their distance in Å.
Element x y z (fractional)
Na 0.0000 0.0000 0.0000  2 Ac 3.72, 6 Na 3.79
Ac 0.0933 0.0933 0.7201  3 Lu 3.65, 1 Na 3.72, 6 Ac 3.79
Ac 0.9067 0.9067 0.2799  3 Lu 3.65, 1 Na 3.72, 6 Ac 3.79
Lu 0.5000 0.5000 0.5000  6 Ac 3.65, 6 Lu 3.79

Symmetry   No. 166
DOS(E_F)   4.57 states/eV per cell


Run ii
NaAc2Lu | GGA-PBE | optimized geometry

Cell: 4.0071 6.1772 6.1772 Å, 90.00 90.00 90.00°
Last column: nearest neighbours and their distance in Å.
Element x y z (fractional)
Na 0.5000 0.5000 0.5000  8 Ac 3.68, 2 Na 4.01
Ac 0.0000 0.0000 0.5000  4 Na 3.68, 4 Lu 3.68, 2 Ac 4.01
Ac 0.0000 0.5000 0.0000  4 Na 3.68, 4 Lu 3.68, 2 Ac 4.01
Lu 0.5000 0.0000 0.0000  8 Ac 3.68, 2 Lu 4.01

Symmetry   No. 123
DOS(E_F)   4.78 states/eV per cell


Relative energy of each structure, in meV per atom: run i 9; run ii 0.


Run i
Ac2NdLu | GGA-PBE | optimized geometry

Cell: 3.7071 3.7071 13.3662 Å, 82.03 82.03 60.00°
Last column: nearest neighbours and their distance in Å.
Element x y z (fractional)
Ac 0.0874 0.0874 0.7379  1 Lu 3.46, 6 Ac 3.71, 3 Nd 3.80
Ac 0.9126 0.9126 0.2621  1 Lu 3.46, 6 Ac 3.71, 3 Nd 3.80
Lu 0.0000 0.0000 0.0000  2 Ac 3.46, 6 Lu 3.71
Nd 0.5000 0.5000 0.5000  6 Nd 3.71, 6 Ac 3.80

Symmetry   No. 166
DOS(E_F)   6.89 states/eV per cell


Run ii
Ac2NdLu | GGA-PBE | optimized geometry

Cell: 3.8964 3.8964 10.0420 Å, 90.00 90.00 90.00°
Last column: nearest neighbours and their distance in Å.
Element x y z (fractional)
Ac 0.0000 0.0000 0.7589  4 Lu 3.67, 4 Nd 3.79, 4 Ac 3.90
Ac 0.0000 0.0000 0.2411  4 Lu 3.67, 4 Nd 3.79, 4 Ac 3.90
Lu 0.5000 0.5000 0.0000  8 Ac 3.67, 4 Lu 3.90
Nd 0.5000 0.5000 0.5000  8 Ac 3.79, 4 Nd 3.90

Symmetry   No. 123
DOS(E_F)   5.94 states/eV per cell


Run iii
Ac2NdLu | GGA-PBE | optimized geometry

Cell: 5.2060 5.4043 5.4043 Å, 90.00 90.00 90.00°
Last column: nearest neighbours and their distance in Å.
Element x y z (fractional)
Ac 0.0000 0.0000 0.5000  4 Nd 3.75, 4 Lu 3.75, 4 Ac 3.82
Ac 0.0000 0.5000 0.0000  4 Nd 3.75, 4 Lu 3.75, 4 Ac 3.82
Lu 0.5000 0.5000 0.5000  8 Ac 3.75, 4 Nd 3.82
Nd 0.5000 0.0000 0.0000  8 Ac 3.75, 4 Lu 3.82

Symmetry   No. 123
DOS(E_F)   5.57 states/eV per cell


Run iv
Ac2NdLu | GGA-PBE | optimized geometry

Cell: 6.0134 6.0134 6.0134 Å, 60.00 60.00 60.00°
Last column: nearest neighbours and their distance in Å.
Element x y z (fractional)
Ac 0.2500 0.2500 0.2500  4 Nd 3.68, 4 Lu 3.68
Ac 0.7500 0.7500 0.7500  4 Nd 3.68, 4 Lu 3.68
Lu 0.0000 0.0000 0.0000  8 Ac 3.68
Nd 0.5000 0.5000 0.5000  8 Ac 3.68

Symmetry   No. 225
DOS(E_F)   7.85 states/eV per cell


Relative energy of each structure, in meV per atom: run i 222; run ii 6; run iii 0; run iv 64.


Run i
AcNdLu2 | GGA-PBE | optimized geometry

Cell: 3.6818 3.6818 11.7979 Å, 81.02 81.02 60.00°
Last column: nearest neighbours and their distance in Å.
Element x y z (fractional)
Ac 0.5000 0.5000 0.5000  6 Lu 3.66, 6 Ac 3.68
Lu 0.7478 0.7478 0.7565  3 Nd 3.54, 3 Ac 3.66, 6 Lu 3.68
Lu 0.2522 0.2522 0.2435  3 Nd 3.54, 3 Ac 3.66, 6 Lu 3.68
Nd 0.0000 0.0000 0.0000  6 Lu 3.54, 6 Nd 3.68

Symmetry   No. 166
DOS(E_F)   3.89 states/eV per cell


Run ii
AcNdLu2 | GGA-PBE | optimized geometry

Cell: 4.8574 5.3054 5.3054 Å, 90.00 90.00 90.00°
Last column: nearest neighbours and their distance in Å.
Element x y z (fractional)
Ac 0.5000 0.5000 0.5000  8 Lu 3.60, 4 Nd 3.75
Lu 0.0000 0.0000 0.5000  4 Ac 3.60, 4 Nd 3.60, 4 Lu 3.75
Lu 0.0000 0.5000 0.0000  4 Ac 3.60, 4 Nd 3.60, 4 Lu 3.75
Nd 0.5000 0.0000 0.0000  8 Lu 3.60, 4 Ac 3.75

Symmetry   No. 123
DOS(E_F)   5.86 states/eV per cell


Run iii
AcNdLu2 | GGA-PBE | optimized geometry

Cell: 5.8087 5.8087 5.8087 Å, 60.00 60.00 60.00°
Last column: nearest neighbours and their distance in Å.
Element x y z (fractional)
Ac 0.0000 0.0000 0.0000  8 Lu 3.56
Lu 0.2500 0.2500 0.2500  4 Nd 3.56, 4 Ac 3.56
Lu 0.7500 0.7500 0.7500  4 Nd 3.56, 4 Ac 3.56
Nd 0.5000 0.5000 0.5000  8 Lu 3.56

Symmetry   No. 225
DOS(E_F)   6.10 states/eV per cell


Run iv
AcNdLu2 | GGA-PBE | optimized geometry

Cell: 4.1576 4.1576 7.9891 Å, 90.00 90.00 90.00°
Last column: nearest neighbours and their distance in Å.
Element x y z (fractional)
Ac 0.5000 0.5000 0.5000  8 Lu 3.63, 2 Nd 3.99
Lu 0.0000 0.0000 0.7661  4 Nd 3.48, 4 Ac 3.63, 1 Lu 3.74
Lu 0.0000 0.0000 0.2339  4 Nd 3.48, 4 Ac 3.63, 1 Lu 3.74
Nd 0.5000 0.5000 0.0000  8 Lu 3.48

Symmetry   No. 123
DOS(E_F)   5.66 states/eV per cell


Relative energy of each structure, in meV per atom: run i 7; run ii 0; run iii 32; run iv 19.